The following is a PBE calculation of crystalline Ac2LaPrN4 at its relaxed geometry, from Alexandria via LeMat-Bulk.

Calculated values
**Energy relative to the elements, uncorrected**: -9.308 eV per formula unit
**Fermi-level density of states**: 0.16 states/eV per atom
**Uncorrected energy**: -7.567 eV per atom

```
data_Ac2LaPrN4
_symmetry_space_group_name_H-M 'P 1 2/m 1'
_symmetry_Int_Tables_number 10
_symmetry_space_group_name_Hall '-P 2y'
_cell_length_a 6.607
_cell_length_b 3.816
_cell_length_c 6.623
_cell_angle_alpha 90.00
_cell_angle_beta 109.38
_cell_angle_gamma 90.00
loop_
_atom_site_label
_atom_site_fract_x
_atom_site_fract_y
_atom_site_fract_z
Ac1 0.000 0.000 0.000
Ac2 0.500 0.500 0.000
La1 0.000 0.500 0.500
Pr1 0.500 0.000 0.500
N1 0.248 0.000 0.740
N2 0.254 0.500 0.260
```